Entry 1:
Below is KIn2Pt2 at its PBEsol-relaxed geometry, with properties calculated at the meta-GGA SCAN level.

Output
Its polymorph energy (0 for the lowest one) is 0.00 eV per formula unit. The formation enthalpy at 0 K comes out at -0.4755 eV per atom. The value obtained for the total moment is 0.0 μB/cell.

a = 4.5820 Å, b = 4.5820 Å, c = 10.9630 Å
α = 90.00°, β = 90.00°, γ = 90.00°
Space group I4/mmm (No. 139)
Inequivalent atoms, fractional coordinates:
K: 0.0000 0.0000 0.0000 x2
In: 0.0000 0.5000 0.2500 x4
Pt: 0.0000 0.0000 0.3826 x4

Entry 2:
Below is BSb2Pt2 at its PBEsol-relaxed geometry, with properties calculated at the meta-GGA SCAN level.

Output
The uncorrected formation energy comes out at -0.659 eV/f.u. The value obtained for the total moment is 0.0 μB/cell.

a = 5.7041 Å, b = 5.7041 Å, c = 5.5480 Å
α = 90.00°, β = 90.00°, γ = 90.00°
Space group P4/mbm (No. 127)
Inequivalent atoms, fractional coordinates:
B: 0.0000 0.0000 0.0000 x2
Sb: 0.1940 0.3060 0.5000 x4
Pt: 0.1726 0.3274 0.0000 x4

Entry 3:
Below is Ba2RhPb at its PBEsol-relaxed geometry, with properties calculated at the meta-GGA SCAN level.

Output
The formation enthalpy at 0 K comes out at -0.2668 eV per atom. The value obtained for the total moment is 0.0 μB/cell.

a = 3.6064 Å, b = 3.6064 Å, c = 9.4250 Å
α = 90.00°, β = 90.00°, γ = 90.00°
Space group P4/mmm (No. 123)
Inequivalent atoms, fractional coordinates:
Ba: 0.0000 0.0000 0.2048 x2
Rh: 0.5000 0.5000 0.0000 x1
Pb: 0.5000 0.5000 0.5000 x1

Entry 4:
Below is TlAuSe2 at its PBEsol-relaxed geometry, with properties calculated at the meta-GGA SCAN level.

Output
The uncorrected formation energy comes out at 1.275 eV/f.u. The value obtained for the total moment is 0.0 μB/cell.

a = 2.8267 Å, b = 2.8267 Å, c = 11.2534 Å
α = 90.00°, β = 90.00°, γ = 90.00°
Space group P4mm (No. 99)
Inequivalent atoms, fractional coordinates:
Tl: 0.0000 0.0000 0.0000 x1
Au: 0.5000 0.5000 0.2341 x1
Se: 0.0000 0.0000 0.4364 x1
Se: 0.5000 0.5000 0.7305 x1

Entry 5:
Below is Sr2GdRuO6 at its PBEsol-relaxed geometry, with properties calculated at the meta-GGA SCAN level.

Output
Its polymorph energy (0 for the lowest one) is 0.06 eV per formula unit. The uncorrected formation energy comes out at -26.925 eV/f.u. The value obtained for the total moment is 20.0 μB/cell.

a = 9.9253 Å, b = 5.7736 Å, c = 5.8517 Å
α = 90.00°, β = 124.69°, γ = 90.00°
Space group C2/m (No. 12)
Inequivalent atoms, fractional coordinates:
Sr: 0.2459 0.0000 0.2324 x4
Gd: 0.0000 0.0000 0.5000 x2
Ru: 0.0000 0.5000 0.0000 x2
O: 0.0487 0.2637 0.8188 x8
O: 0.2298 0.5000 0.3158 x4

Entry 6:
Below is Li2MgGe at its PBEsol-relaxed geometry, with properties calculated at the meta-GGA SCAN level.

Output
The formation enthalpy at 0 K comes out at -0.3543 eV per atom. The value obtained for the total moment is 0.0 μB/cell.

a = 6.3776 Å, b = 6.3776 Å, c = 6.3776 Å
α = 90.00°, β = 90.00°, γ = 90.00°
Space group F-43m (No. 216)
Inequivalent atoms, fractional coordinates:
Li: 0.0000 0.0000 0.0000 x4
Li: 0.2500 0.2500 0.2500 x4
Mg: 0.2500 0.2500 0.7500 x4
Ge: 0.0000 0.0000 0.5000 x4

Entry 7:
Below is Mg4Re3 at its PBEsol-relaxed geometry, with properties calculated at the meta-GGA SCAN level.

Output
Its polymorph energy (0 for the lowest one) is 0.39 eV per formula unit. The formation enthalpy at 0 K comes out at 0.2329 eV per atom. The value obtained for the total moment is 1.5 μB/cell.

a = 2.9355 Å, b = 2.9355 Å, c = 28.6742 Å
α = 90.00°, β = 90.00°, γ = 90.00°
Space group I4/mmm (No. 139)
Inequivalent atoms, fractional coordinates:
Mg: 0.0000 0.0000 0.0678 x4
Mg: 0.0000 0.0000 0.3440 x4
Re: 0.0000 0.0000 0.2246 x4
Re: 0.0000 0.0000 0.5000 x2

Entry 8:
Below is AsIBr2Cl at its PBEsol-relaxed geometry, with properties calculated at the meta-GGA SCAN level.

Output
The uncorrected formation energy comes out at 3.527 eV/f.u. The value obtained for the total moment is 0.0 μB/cell.

a = 4.9005 Å, b = 4.9005 Å, c = 5.8062 Å
α = 90.00°, β = 90.00°, γ = 90.00°
Space group P4/mmm (No. 123)
Inequivalent atoms, fractional coordinates:
As: 0.0000 0.0000 0.0000 x1
I: 0.5000 0.5000 0.0000 x1
Br: 0.0000 0.5000 0.5000 x2
Cl: 0.0000 0.0000 0.5000 x1